This record from the Alexandria database describes a geometry-optimized Ac4NiGeCl2 structure. The functional is GGA-PBE.

Cell: 4.358 7.993 7.710 Å, 108.08 90.00 90.00°
Atoms (fractional coordinates):
Ac1 0.500 0.249 0.232
Ac2 0.500 0.751 0.768
Ac3 0.000 0.279 0.788
Ac4 0.000 0.721 0.212
Ni1 0.500 0.500 0.000
Ge1 0.000 0.000 0.000
Cl1 0.500 0.000 0.500
Cl2 0.000 0.500 0.500

Uncorrected formation energy = -1.040 eV per atom

This record from the Alexandria database describes a geometry-optimized La6TbY2Er structure. The functional is GGA-PBE.

Cell: 9.087 7.082 6.740 Å, 121.69 102.92 90.00°
Atoms (fractional coordinates):
La1 0.428 0.633 0.266
La2 0.196 0.035 0.628
La3 0.804 0.408 0.372
La4 0.196 0.592 0.628
La5 0.804 0.965 0.372
La6 0.572 0.367 0.734
Tb1 0.500 0.000 0.000
Y1 0.169 0.083 0.166
Y2 0.831 0.917 0.834
Er1 0.000 0.500 0.000

Total DFT energy (no corrections) = -4.974 eV per atom

This record from the Alexandria database describes a geometry-optimized KBi structure. The functional is GGA-PBE.

Cell: 10.887 10.887 10.887 Å, 90.00 90.00 90.00°
Atoms (fractional coordinates):
K1 0.204 0.204 0.204
K2 0.204 0.796 0.796
K3 0.796 0.204 0.796
K4 0.796 0.796 0.204
K5 0.704 0.704 0.704
K6 0.704 0.296 0.296
K7 0.296 0.704 0.296
K8 0.296 0.296 0.704
Bi1 0.396 0.396 0.396
Bi2 0.396 0.604 0.604
Bi3 0.604 0.396 0.604
Bi4 0.604 0.604 0.396
Bi5 0.896 0.896 0.896
Bi6 0.896 0.104 0.104
Bi7 0.104 0.896 0.104
Bi8 0.104 0.104 0.896

Total DFT energy (no corrections) = -2.411 eV per atom